Record 1
First-principles (meta-GGA SCAN) data for a crystal of Pr3Ge13Os4 relaxed with PBEsol, as listed in the Alexandria database.

```
Pr3Ge13Os4
1.0
9.0760 0.0000 0.0000
0.0000 9.0760 0.0000
0.0000 0.0000 9.0760
Ge Pr Os
26 6 8
Direct
0.2061 0.6454 0.5000
0.7061 0.0000 0.8546
0.2939 0.0000 0.1454
0.8546 0.7061 0.0000
0.7939 0.6454 0.5000
0.7061 0.0000 0.1454
0.7939 0.3546 0.5000
0.0000 0.0000 0.0000
0.2939 0.0000 0.8546
0.5000 0.7939 0.3546
0.5000 0.2061 0.3546
0.3546 0.5000 0.2061
0.0000 0.8546 0.7061
0.5000 0.2061 0.6454
0.5000 0.5000 0.5000
0.0000 0.1454 0.2939
0.2061 0.3546 0.5000
0.1454 0.2939 0.0000
0.0000 0.8546 0.2939
0.6454 0.5000 0.2061
0.1454 0.7061 0.0000
0.5000 0.7939 0.6454
0.3546 0.5000 0.7939
0.0000 0.1454 0.7061
0.8546 0.2939 0.0000
0.6454 0.5000 0.7939
0.5000 0.7500 0.0000
0.2500 0.0000 0.5000
0.0000 0.5000 0.2500
0.5000 0.2500 0.0000
0.0000 0.5000 0.7500
0.7500 0.0000 0.5000
0.7500 0.7500 0.7500
0.2500 0.2500 0.2500
0.7500 0.7500 0.2500
0.2500 0.2500 0.7500
0.2500 0.7500 0.2500
0.7500 0.2500 0.2500
0.2500 0.7500 0.7500
0.7500 0.2500 0.7500
```

Calculated values
Fermi-level density of states	18.52	states/eV/cell
E_form	-0.404	eV/atom

Record 2
First-principles (meta-GGA SCAN) data for a crystal of BeOsSeN2 relaxed with PBEsol, as listed in the Alexandria database.

```
BeOsSeN2
1.0
-2.9472 1.9050 0.2494
-0.7489 -1.5596 3.0633
2.2590 3.2087 2.1859
N Se Os Be
2 1 1 1
Direct
0.5000 0.0000 0.0000
0.0000 0.5000 0.0000
0.0000 0.0000 0.5000
0.5000 0.5000 0.5000
0.0000 0.0000 0.0000
```

Calculated values
Fermi-level density of states	2.32	states/eV/cell
raw formation energy	1.666	eV per atom

Record 3
First-principles (meta-GGA SCAN) data for a crystal of SnHgP14 relaxed with PBEsol, as listed in the Alexandria database.

```
SnHgP14
1.0
-2.0416 -7.0189 6.5544
0.7988 -7.2351 -7.4989
12.3163 -1.2401 2.5084
P Hg Sn
56 4 4
Direct
0.7500 0.5911 0.0773
0.2500 0.4089 0.9227
0.4198 0.5734 0.0653
0.9198 0.4266 0.9347
0.9587 0.8577 0.1369
0.2500 0.0911 0.4227
0.0413 0.1423 0.8631
0.2500 0.2196 0.5638
0.0828 0.7933 0.4232
0.0756 0.3495 0.5349
0.7500 0.3377 0.5346
0.0802 0.9266 0.5653
0.2500 0.8377 0.9654
0.0802 0.5734 0.0653
0.9244 0.6505 0.4651
0.4244 0.1505 0.0349
0.5828 0.2067 0.5768
0.9198 0.0734 0.4347
0.7500 0.7804 0.4362
0.0828 0.7067 0.9232
0.5802 0.4266 0.9347
0.7500 0.7196 0.9362
0.4246 0.3444 0.8254
0.4172 0.7067 0.9232
0.5754 0.6556 0.1746
0.9246 0.8444 0.6746
0.5754 0.8444 0.6746
0.2500 0.6440 0.1639
0.9244 0.8495 0.9651
0.9587 0.6423 0.6369
0.4587 0.3577 0.3631
0.7500 0.3560 0.8361
0.4246 0.1556 0.3254
0.0413 0.3577 0.3631
0.5413 0.6423 0.6369
0.4198 0.9266 0.5653
0.4172 0.7933 0.4232
0.4244 0.3495 0.5349
0.9246 0.6556 0.1746
0.5756 0.8495 0.9651
0.0754 0.3444 0.8254
0.5802 0.0734 0.4347
0.7500 0.1623 0.0346
0.0756 0.1505 0.0349
0.7500 0.9089 0.5773
0.5756 0.6505 0.4651
0.4587 0.1423 0.8631
0.9172 0.2933 0.0768
0.2500 0.6623 0.4654
0.0754 0.1556 0.3254
0.9172 0.2067 0.5768
0.2500 0.2804 0.0638
0.2500 0.8560 0.6639
0.7500 0.1440 0.3361
0.5828 0.2933 0.0768
0.5413 0.8577 0.1369
0.7500 0.5137 0.6865
0.2500 0.4863 0.3135
0.2500 0.0137 0.8135
0.7500 0.9863 0.1865
0.2500 0.9013 0.1713
0.7500 0.0987 0.8287
0.2500 0.5987 0.6713
0.7500 0.4013 0.3287
```

Calculated values
E_form	-0.013	eV/atom

Record 4
First-principles (meta-GGA SCAN) data for a crystal of RbIn2SiSb relaxed with PBEsol, as listed in the Alexandria database.

```
RbIn2SiSb
1.0
5.6917 0.0000 0.0000
0.0000 5.6917 0.0000
0.0000 0.0000 6.6824
Si Rb In Sb
1 1 2 1
Direct
0.5000 0.5000 0.5000
0.0000 0.0000 0.5000
0.0000 0.5000 0.0000
0.5000 0.0000 0.0000
0.0000 0.0000 0.0000
```

Calculated values
Fermi-level density of states	1.42	states/eV/cell
raw formation energy	0.727	eV per atom

Record 5
First-principles (meta-GGA SCAN) data for a crystal of ZrScIn3 relaxed with PBEsol, as listed in the Alexandria database.

```
ZrScIn3
1.0
-3.0847 -0.6138 4.1077
-3.0409 -3.1514 -2.7544
2.8290 -4.0567 1.5182
In Sc Zr
3 1 1
Direct
0.0000 0.0000 0.5000
0.5000 0.0000 0.0000
0.0000 0.5000 0.0000
0.0000 0.0000 0.0000
0.5000 0.5000 0.5000
```

Calculated values
Fermi-level density of states	3.08	states/eV/cell
E_form	0.688	eV/atom

Record 6
First-principles (meta-GGA SCAN) data for a crystal of BaTaFe3 relaxed with PBEsol, as listed in the Alexandria database.

```
BaTaFe3
1.0
4.7419 0.0000 0.0000
0.0000 4.7419 0.0000
0.0000 0.0000 4.7419
Fe Ta Ba
3 1 1
Direct
0.5000 0.0000 0.0000
0.0000 0.5000 0.0000
0.0000 0.0000 0.5000
0.0000 0.0000 0.0000
0.5000 0.5000 0.5000
```

Calculated values
Fermi-level density of states	3.73	states/eV/cell
E_form	1.019	eV/atom

Record 7
First-principles (meta-GGA SCAN) data for a crystal of ZrAl2P relaxed with PBEsol, as listed in the Alexandria database.

```
ZrAl2P
1.0
3.1154 0.0000 0.0000
0.0000 4.9330 0.0029
0.0000 -2.1382 4.4455
P Zr Al
1 1 2
Direct
0.5000 0.0000 0.0000
0.5000 0.5000 0.5000
0.0000 0.0000 0.5000
0.0000 0.5000 0.0000
```

Calculated values
Fermi-level density of states	2.46	states/eV/cell
E_form	-0.258	eV/atom

Record 8
First-principles (meta-GGA SCAN) data for a crystal of ZnAs2RuI relaxed with PBEsol, as listed in the Alexandria database.

```
ZnAs2RuI
1.0
4.7727 0.0000 0.0000
0.0000 5.2949 0.0000
0.0000 0.0000 5.2949
As Ru Zn I
2 1 1 1
Direct
0.0000 0.0000 0.5000
0.0000 0.5000 0.0000
0.5000 0.0000 0.0000
0.5000 0.5000 0.5000
0.0000 0.0000 0.0000
```

Calculated values
Fermi-level density of states	4.60	states/eV/cell
raw formation energy	1.728	eV per atom

Record 9
First-principles (meta-GGA SCAN) data for a crystal of InHg2 relaxed with PBEsol, as listed in the Alexandria database.

```
InHg2
1.0
3.3277 0.0000 0.0000
0.0000 8.6502 0.0000
0.0000 -4.3251 7.4913
Hg In
6 3
Direct
0.0000 0.3006 0.0000
0.5000 0.3668 0.3668
0.5000 0.6332 0.0000
0.5000 0.0000 0.6332
0.0000 0.0000 0.3006
0.0000 0.6994 0.6994
0.0000 0.6667 0.3333
0.5000 0.0000 0.0000
0.0000 0.3333 0.6667
```

Calculated values
Fermi-level density of states	3.67	states/eV/cell
E_form	0.031	eV/atom

Record 10
First-principles (meta-GGA SCAN) data for a crystal of TlTe2Ir relaxed with PBEsol, as listed in the Alexandria database.

```
TlTe2Ir
1.0
4.9959 0.0034 0.0057
-1.7343 4.6852 -0.0057
-1.7343 -2.2723 4.0973
Tl Te Ir
1 2 1
Direct
0.0000 0.5000 0.5000
0.5000 0.0000 0.5000
0.5000 0.5000 0.0000
0.0000 0.0000 0.0000
```

Calculated values
Fermi-level density of states	1.90	states/eV/cell
raw formation energy	0.427	eV per atom

Record 11
First-principles (meta-GGA SCAN) data for a crystal of HoFe5 relaxed with PBEsol, as listed in the Alexandria database.

```
HoFe5
1.0
-1.2955 2.2452 2.8932
-4.5811 -1.0554 -1.2322
2.3545 -2.7830 3.2140
Fe Ho
5 1
Direct
0.5000 0.5000 0.5000
0.0000 0.3333 0.6667
0.5000 0.5000 0.0000
0.0000 0.6667 0.3333
0.5000 0.0000 0.5000
0.0000 0.0000 0.0000
```

Calculated values
Fermi-level density of states	5.55	states/eV/cell
E_form	0.001	eV/atom

Record 12
First-principles (meta-GGA SCAN) data for a crystal of CaY2In relaxed with PBEsol, as listed in the Alexandria database.

```
CaY2In
1.0
-0.7376 -3.6627 0.4797
1.3917 0.4028 5.2155
-5.8386 2.9194 -1.4765
Ca Y In
1 2 1
Direct
0.5000 0.0000 0.0000
0.7165 0.7165 0.4330
0.2835 0.2835 0.5670
0.0000 0.5000 0.0000
```

Calculated values
Fermi-level density of states	3.11	states/eV/cell
E_form	-0.314	eV/atom

Record 13
First-principles (meta-GGA SCAN) data for a crystal of Li2VF6 relaxed with PBEsol, as listed in the Alexandria database.

```
Li2VF6
1.0
-0.0169 -3.3520 3.5475
7.0772 3.4864 3.3281
-5.3166 5.6870 5.3482
F Li V
24 8 4
Direct
0.3047 0.3879 0.7585
0.3047 0.1121 0.2585
0.8047 0.8879 0.7415
0.3674 0.4220 0.2624
0.8674 0.5780 0.7376
0.6581 0.4053 0.9752
0.8047 0.6121 0.2415
0.1581 0.5947 0.0248
0.1654 0.9036 0.0217
0.1964 0.2485 0.4826
0.2956 0.7353 0.2509
0.2956 0.7647 0.7509
0.6964 0.7485 0.0174
0.6654 0.4036 0.4783
0.8674 0.9220 0.2376
0.6581 0.0947 0.4752
0.3674 0.0780 0.7624
0.1964 0.2515 0.9826
0.7956 0.2647 0.7491
0.1654 0.5964 0.5217
0.6654 0.0964 0.9783
0.6964 0.7515 0.5174
0.1581 0.9053 0.5248
0.7956 0.2353 0.2491
0.5084 0.9521 0.6063
0.9985 0.1092 0.1024
0.5084 0.5479 0.1063
0.0084 0.4521 0.8937
0.0084 0.0479 0.3937
0.4985 0.6092 0.3976
0.4985 0.8908 0.8976
0.9985 0.3908 0.6024
0.0005 0.7450 0.6360
0.0005 0.7550 0.1360
0.5005 0.2550 0.3640
0.5005 0.2450 0.8640
```

Calculated values
raw formation energy	-3.133	eV per atom

Record 14
First-principles (meta-GGA SCAN) data for a crystal of Sr2MoAu relaxed with PBEsol, as listed in the Alexandria database.

```
Sr2MoAu
1.0
-4.0074 0.0286 -1.9896
-3.1387 -2.9338 1.2489
-4.9901 4.0889 5.0788
Sr Au Mo
2 1 1
Direct
0.9636 0.9636 0.1091
0.7863 0.7863 0.6410
0.5422 0.5422 0.3735
0.2079 0.2079 0.3764
```

Calculated values
Fermi-level density of states	2.25	states/eV/cell
E_form	0.122	eV/atom

Record 15
First-principles (meta-GGA SCAN) data for a crystal of Sc2TeP relaxed with PBEsol, as listed in the Alexandria database.

```
Sc2TeP
1.0
-2.5601 0.0793 -2.8181
-2.3207 -2.9692 -0.5484
-6.1251 1.7835 3.0415
Sc Te P
2 1 1
Direct
0.7361 0.7361 0.7917
0.9315 0.9315 0.2056
0.5010 0.5010 0.4971
0.3315 0.3315 0.0055
```

Calculated values
Fermi-level density of states	1.93	states/eV/cell
raw formation energy	-1.499	eV per atom

Record 16
First-principles (meta-GGA SCAN) data for a crystal of AlCdRe2 relaxed with PBEsol, as listed in the Alexandria database.

```
AlCdRe2
1.0
-1.1505 -0.2545 -2.5190
-2.7492 -0.3397 -0.2451
-2.3938 8.9629 -1.3472
Cd Al Re
1 1 2
Direct
0.0000 0.0000 0.0000
0.5000 0.5000 0.5000
0.2444 0.2444 0.2668
0.7556 0.7556 0.7332
```

Calculated values
Fermi-level density of states	2.65	states/eV/cell
E_form	0.256	eV/atom

Record 17
First-principles (meta-GGA SCAN) data for a crystal of Si2H15C5N relaxed with PBEsol, as listed in the Alexandria database.

```
Si2H15C5N
1.0
6.6439 0.0027 0.0002
-2.6829 10.7347 0.0001
0.0004 0.0002 13.2613
C N H Si
20 4 60 8
Direct
0.8867 0.4689 0.7977
0.7543 0.3608 0.4731
0.2457 0.6392 0.5269
0.3867 0.9689 0.7023
0.3325 0.5636 0.8662
0.2543 0.8608 0.0269
0.8036 0.7932 0.0990
0.4022 0.3111 0.6274
0.5978 0.6889 0.3726
0.1964 0.2068 0.9010
0.6964 0.7068 0.5990
0.6133 0.0311 0.2977
0.3036 0.2932 0.4010
0.7457 0.1392 0.9731
0.8325 0.0636 0.6338
0.1675 0.9364 0.3662
0.6675 0.4364 0.1338
0.9022 0.8111 0.8726
0.1132 0.5311 0.2023
0.0978 0.1889 0.1274
0.5183 0.8919 0.4973
0.0183 0.3919 0.0027
0.4817 0.1081 0.5027
0.9817 0.6081 0.9973
0.5581 0.4171 0.0700
0.2768 0.5646 0.1795
0.3663 0.8438 0.9704
0.7375 0.0384 0.9735
0.1015 0.4496 0.2519
0.6925 0.1629 0.8985
0.8572 0.7585 0.5829
0.8985 0.5504 0.7481
0.1541 0.2362 0.8260
0.1233 0.0064 0.3172
0.2375 0.5384 0.5265
0.8459 0.7638 0.1740
0.3985 0.0504 0.7519
0.8663 0.3438 0.5296
0.0694 0.6043 0.2478
0.9419 0.0829 0.5699
0.2232 0.9354 0.6795
0.4019 0.4108 0.6292
0.8767 0.9936 0.6828
0.4419 0.5829 0.9300
0.6949 0.6071 0.6042
0.1925 0.6630 0.6015
0.4306 0.8957 0.7478
0.1428 0.2415 0.4171
0.9019 0.9108 0.8708
0.3766 0.4936 0.8171
0.0070 0.7953 0.8120
0.1949 0.1071 0.8958
0.3075 0.8371 0.1015
0.3517 0.6498 0.8213
0.6234 0.5064 0.1829
0.7232 0.4354 0.8205
0.9930 0.2047 0.1880
0.0981 0.0892 0.1292
0.7444 0.7563 0.8545
0.8051 0.8929 0.1042
0.3572 0.2584 0.9171
0.3051 0.3929 0.3958
0.2556 0.2437 0.1455
0.2443 0.2563 0.6455
0.6428 0.7416 0.0829
0.8075 0.3370 0.3985
0.5694 0.1043 0.2522
0.7768 0.0646 0.3205
0.7557 0.7437 0.3545
0.1483 0.8502 0.3213
0.3459 0.2638 0.3260
0.6337 0.1562 0.0296
0.7625 0.4616 0.4735
0.6483 0.3502 0.1787
0.6015 0.9496 0.2481
0.0581 0.9171 0.4301
0.4931 0.7047 0.3120
0.2625 0.9616 0.0265
0.8517 0.1498 0.6787
0.6541 0.7362 0.6740
0.5069 0.2953 0.6879
0.1337 0.6562 0.4704
0.9306 0.3957 0.7522
0.5981 0.5892 0.3708
0.0139 0.2351 0.0011
0.5139 0.7351 0.4989
0.4861 0.2649 0.5011
0.0585 0.5086 0.9104
0.9861 0.7649 0.9989
0.9415 0.4914 0.0896
0.4415 0.9914 0.4104
0.5585 0.0086 0.5896
```

Calculated values
Fermi-level density of states	0.00	states/eV/cell

Volume
In order: 18.69, 11.12, 20.25, 43.30, 27.69, 21.33, 17.08, 26.76, 23.96, 23.98, 13.24, 29.69, 10.96, 33.78, 21.09, 15.46, 10.28
Unit: Å³/atom
E
In order: -1347.4, -106.6, -999.5, -131.2, -141.7, -155.4, -57.6, -116.8, -508.9, -216.3, -139.6, -100.0, -286.8, -148.1, -82.1, -179.3, -555.1
Unit: eV/cell